Record 1
Here is a crystal of YB6 relaxed with PBEsol from Alexandria. Energies are from SCAN.

Unit cell a=4.078 b=4.078 c=4.078 alpha=90.00 beta=90.00 gamma=90.00
Space group Pm-3m (No. 221)
Asymmetric unit:
Y 0.000 0.000 0.000
B 0.199 0.500 0.500

Values from the calculation:
* VASP energy: -10.821 eV per atom
* formation energy: -475 meV/atom

***

Record 2
Here is a crystal of YZrB2 relaxed with PBEsol from Alexandria. Energies are from SCAN.

Unit cell a=4.770 b=4.770 c=13.689 alpha=90.00 beta=90.00 gamma=90.00
Space group I-42d (No. 122)
Asymmetric unit:
Y 0.000 0.000 0.000
Zr 0.000 0.000 0.500
B 0.190 0.250 0.625

Values from the calculation:
* VASP energy: -17.745 eV per atom
* formation energy: 605 meV/atom

***

Record 3
Here is a crystal of ZrB12 relaxed with PBEsol from Alexandria. Energies are from SCAN.

Unit cell a=7.370 b=7.370 c=7.370 alpha=90.00 beta=90.00 gamma=90.00
Space group Fm-3m (No. 225)
Asymmetric unit:
Zr 0.000 0.000 0.000
B 0.000 0.170 0.330

Values from the calculation:
* VASP energy: -9.484 eV per atom
* formation energy: -264 meV/atom

***

Record 4
Here is a crystal of ZrB2 relaxed with PBEsol from Alexandria. Energies are from SCAN.

Unit cell a=3.1579 b=3.1579 c=3.5034 alpha=90.00 beta=90.00 gamma=120.00
Space group P6/mmm (No. 191)
Asymmetric unit:
Zr 0.0000 0.0000 0.0000
B 0.3333 0.6667 0.5000

Values from the calculation:
* VASP energy: -16.253 eV per atom
* formation energy: -1067 meV/atom

***

Record 5
Here is a crystal of Ba relaxed with PBEsol from Alexandria. Energies are from SCAN.

Unit cell a=6.3966 b=6.3966 c=6.5276 alpha=90.00 beta=90.00 gamma=120.00
Space group P6_3/mmc (No. 194)
Asymmetric unit:
Ba 0.0000 0.0000 0.2500
Ba 0.3333 0.6667 0.2500

Values from the calculation:
* VASP energy: -39.061 eV per atom
* formation energy: 489 meV/atom
* excess energy over the best structure of this formula in the dataset: 489.4 meV per atom

***

Record 6
Here is a crystal of Ba relaxed with PBEsol from Alexandria. Energies are from SCAN.

Unit cell a=4.173 b=7.729 c=14.452 alpha=90.00 beta=90.00 gamma=90.00
Space group Fddd (No. 70, origin choice 2)
Asymmetric unit:
Ba 0.125 0.125 0.125

Values from the calculation:
* VASP energy: -39.504 eV per atom
* formation energy: 46 meV/atom
* excess energy over the best structure of this formula in the dataset: 46.3 meV per atom

***

Record 7
Here is a crystal of Ba relaxed with PBEsol from Alexandria. Energies are from SCAN.

Unit cell a=4.884 b=4.884 c=4.884 alpha=90.00 beta=90.00 gamma=90.00
Space group Im-3m (No. 229)
Asymmetric unit:
Ba 0.000 0.000 0.000

Values from the calculation:
* VASP energy: -39.550 eV per atom
* formation energy: 0 meV/atom
* excess energy over the best structure of this formula in the dataset: 0.0 meV per atom

***

Record 8
Here is a crystal of Ba relaxed with PBEsol from Alexandria. Energies are from SCAN.

Unit cell a=6.156 b=6.156 c=6.156 alpha=90.00 beta=90.00 gamma=90.00
Space group Fm-3m (No. 225)
Asymmetric unit:
Ba 0.000 0.000 0.000

Values from the calculation:
* VASP energy: -39.515 eV per atom
* formation energy: 35 meV/atom
* excess energy over the best structure of this formula in the dataset: 35.3 meV per atom

***

Record 9
Here is a crystal of Ba relaxed with PBEsol from Alexandria. Energies are from SCAN.

Unit cell a=4.3382 b=4.3382 c=7.1001 alpha=90.00 beta=90.00 gamma=120.00
Space group P6_3/mmc (No. 194)
Asymmetric unit:
Ba 0.3333 0.6667 0.2500

Values from the calculation:
* VASP energy: -39.518 eV per atom
* formation energy: 32 meV/atom
* excess energy over the best structure of this formula in the dataset: 32.3 meV per atom

***

Record 10
Here is a crystal of Ba5Be relaxed with PBEsol from Alexandria. Energies are from SCAN.

Unit cell a=4.521 b=19.460 c=6.333 alpha=90.00 beta=90.00 gamma=90.00
Space group Cmmm (No. 65)
Asymmetric unit:
Ba 0.000 0.000 0.000
Ba 0.000 0.132 0.500
Ba 0.000 0.329 0.000
Be 0.000 0.500 0.500

Values from the calculation:
* VASP energy: -33.361 eV per atom
* formation energy: 324 meV/atom
* excess energy over the best structure of this formula in the dataset: 117.4 meV per atom

***

Record 11
Here is a crystal of Ba3Be relaxed with PBEsol from Alexandria. Energies are from SCAN.

Unit cell a=12.012 b=14.865 c=4.204 alpha=90.00 beta=90.00 gamma=90.00
Space group Cmcm (No. 63)
Asymmetric unit:
Ba 0.000 0.122 0.250
Ba 0.179 0.376 0.250
Be 0.000 0.478 0.750

Values from the calculation:
* VASP energy: -30.509 eV per atom
* formation energy: 242 meV/atom

***

Record 12
Here is a crystal of Ba2Be3 relaxed with PBEsol from Alexandria. Energies are from SCAN.

Unit cell a=3.8494 b=3.8494 c=9.5232 alpha=90.00 beta=90.00 gamma=120.00
Space group P-3m1 (No. 164)
Asymmetric unit:
Ba 0.3333 0.6667 0.2056
Be 0.0000 0.0000 0.5000
Be 0.3333 0.6667 0.5234

Values from the calculation:
* VASP energy: -18.232 eV per atom
* formation energy: 201 meV/atom